No. 1
Computed, not measured: crystalline Ac4Mg at its relaxed geometry at the PBE level of DFT.

Cell: 4.0396 4.0396 12.9625 Å, 98.96 98.96 90.00°
Closest atoms and distances in Å follow each position.
Fractional coordinates of all 5 atoms:
Ac 0.1947 0.1947 0.3894  12 Ac 3.99-4.04
Ac 0.5843 0.5843 0.1685  4 Mg 3.56
Ac 0.4157 0.4157 0.8315  4 Mg 3.56
Ac 0.8053 0.8053 0.6106  12 Ac 3.99-4.04
Mg 0.0000 0.0000 0.0000  8 Ac 3.56

Computed properties:
- energy relative to the lowest polymorph listed for this composition (eV/atom) = 0.0000
- energy of formation from the pure elements (kJ per mole of atoms) = -3
- SG = I4/mmm (139)
- total energy (Ry per atom) = -0.2670
- crystal system = tetragonal

No. 2
Computed, not measured: crystalline Ac2Mg at its relaxed geometry at the PBE level of DFT.

Cell: 9.5307 9.5307 6.0813 Å, 90.00 90.00 155.07°
Closest atoms and distances in Å follow each position.
Fractional coordinates of all 6 atoms:
Mg 0.5709 0.4291 0.2500  8 Ac 3.53-3.68
Mg 0.4291 0.5709 0.7500  8 Ac 3.53-3.68
Ac 0.9164 0.0836 0.2500  6 Mg 3.53-3.68
Ac 0.0836 0.9164 0.7500  6 Mg 3.53-3.68
Ac 0.7723 0.2277 0.7500  2 Mg 3.57, 4 Ac 3.76
Ac 0.2277 0.7723 0.2500  2 Mg 3.57, 4 Ac 3.76

Computed properties:
- energy relative to the lowest polymorph listed for this composition (eV/atom) = 0.0202
- energy of formation from the pure elements (kJ per mole of atoms) = -3
- SG = Cmcm (63)
- total energy (Ry per atom) = -0.2428
- crystal system = orthorhombic

No. 3
Computed, not measured: crystalline Ac5Mg at its relaxed geometry at the PBE level of DFT.

Cell: 5.5256 5.4797 8.7213 Å, 108.31 90.00 90.00°
Closest atoms and distances in Å follow each position.
Fractional coordinates of all 6 atoms:
Ac 0.5000 0.1647 0.3294  10 Ac 3.87-3.95, 2 Mg 3.88
Ac 0.5000 0.5000 0.0000  8 Ac 3.87-3.88, 4 Mg 3.89
Ac 0.5000 0.8353 0.6706  10 Ac 3.87-3.95, 2 Mg 3.88
Ac 0.0000 0.6645 0.3289  2 Mg 3.86, 10 Ac 3.88-3.95
Ac 0.0000 0.3355 0.6711  2 Mg 3.86, 10 Ac 3.88-3.95
Mg 0.0000 0.0000 0.0000  12 Ac 3.86-3.89

Computed properties:
- energy relative to the lowest polymorph listed for this composition (eV/atom) = 0.0451
- energy of formation from the pure elements (kJ per mole of atoms) = 2
- SG = Cmmm (65)
- total energy (Ry per atom) = -0.2693
- crystal system = orthorhombic